Computed, not measured: an optimized crystal structure of MgTiCr3 at the GGA-PBE level of DFT.

a = 4.693 Å, b = 4.693 Å, c = 4.693 Å
α = 90.00°, β = 90.00°, γ = 90.00°
Sites, in units of the cell vectors:
Cr1 0.000 0.000 0.500
Cr2 0.000 0.500 0.000
Ti1 0.500 0.500 0.500
Cr3 0.500 0.000 0.000
Mg1 0.000 0.000 0.000

E   -29.85 eV per cell
SG   Pm-3m, No. 221
ΔE_f   1702 meV/atom